(1)
Here is MgGaCuAu2 after structural relaxation from the Alexandria database. Energies are from PBE.

abc: 4.854 4.854 4.535
angles: 90.00 90.00 90.00
Fractional positions:
Mg  0.000  0.000  0.000
Ga  0.500  0.500  0.500
Cu  0.500  0.500  0.000
Au  0.000  0.500  0.500
Au  0.500  0.000  0.500

## Properties
space group = P4/mmm (123)
DFT total energy = -14.33 eV per cell
ΔE_f = 0.9 eV per formula unit

(2)
Here is Mn2Ga2Cu7Au after structural relaxation from the Alexandria database. Energies are from PBE.

abc: 3.675 3.675 12.166
angles: 90.09 90.09 89.31
Fractional positions:
Mn  0.000  0.000  0.176
Mn  0.000  0.000  0.824
Ga  0.500  0.500  0.185
Ga  0.500  0.500  0.815
Cu  0.000  0.000  0.500
Cu  0.001  0.501  0.664
Cu  0.259  0.259  0.000
Cu  0.499  0.999  0.336
Cu  0.501  0.001  0.664
Cu  0.741  0.741  0.000
Cu  0.999  0.499  0.336
Au  0.500  0.500  0.500

## Properties
space group = C2/m (12)
DFT total energy = -55.68 eV per cell
ΔE_f = 0.7 eV per formula unit

(3)
Here is GaCuMoAu2 after structural relaxation from the Alexandria database. Energies are from PBE.

abc: 4.742 4.742 4.801
angles: 90.00 90.00 90.00
Fractional positions:
Ga  0.000  0.000  0.000
Cu  0.500  0.500  0.500
Mo  0.000  0.000  0.500
Au  0.000  0.500  0.000
Au  0.500  0.000  0.000

## Properties
space group = P4/mmm (123)
DFT total energy = -19.20 eV per cell
ΔE_f = 5.3 eV per formula unit

(4)
Here is NaGa2CuAu4 after structural relaxation from the Alexandria database. Energies are from PBE.

abc: 7.914 7.914 7.914
angles: 34.05 34.05 34.05
Fractional positions:
Na  0.000  0.000  0.000
Ga  0.257  0.257  0.257
Ga  0.743  0.743  0.743
Cu  0.500  0.500  0.500
Au  0.135  0.135  0.135
Au  0.384  0.384  0.384
Au  0.616  0.616  0.616
Au  0.865  0.865  0.865

## Properties
space group = R-3m (166)
DFT total energy = -25.87 eV per cell
ΔE_f = -1.3 eV per formula unit

(5)
Here is Na2GaCuAu6 after structural relaxation from the Alexandria database. Energies are from PBE.

abc: 6.969 6.969 6.969
angles: 60.00 60.00 60.00
Fractional positions:
Na  0.250  0.250  0.250
Na  0.750  0.750  0.750
Ga  0.000  0.000  0.000
Cu  0.500  0.500  0.500
Au  0.251  0.251  0.749
Au  0.251  0.749  0.251
Au  0.251  0.749  0.749
Au  0.749  0.251  0.251
Au  0.749  0.251  0.749
Au  0.749  0.749  0.251

## Properties
space group = Fm-3m (225)
DFT total energy = -29.19 eV per cell
ΔE_f = 0.2 eV per formula unit

(6)
Here is Na2Ga4CuAu3 after structural relaxation from the Alexandria database. Energies are from PBE.

abc: 4.287 4.287 11.103
angles: 90.00 90.00 90.00
Fractional positions:
Na  0.000  0.500  0.240
Na  0.500  0.000  0.760
Ga  0.000  0.000  0.500
Ga  0.000  0.500  0.873
Ga  0.500  0.000  0.127
Ga  0.500  0.500  0.500
Cu  0.500  0.500  0.000
Au  0.000  0.000  0.000
Au  0.000  0.500  0.643
Au  0.500  0.000  0.357

## Properties
space group = P-4m2 (115)
DFT total energy = -31.01 eV per cell
ΔE_f = -2.3 eV per formula unit

(7)
Here is Na2Ga3CuAu12 after structural relaxation from the Alexandria database. Energies are from PBE.

abc: 8.136 8.136 8.136
angles: 62.51 62.51 62.51
Fractional positions:
Na  0.121  0.121  0.121
Na  0.879  0.879  0.879
Ga  0.000  0.500  0.500
Ga  0.500  0.000  0.500
Ga  0.500  0.500  0.000
Cu  0.500  0.500  0.500
Au  0.126  0.126  0.618
Au  0.126  0.618  0.126
Au  0.128  0.631  0.631
Au  0.369  0.369  0.872
Au  0.369  0.872  0.369
Au  0.382  0.874  0.874
Au  0.618  0.126  0.126
Au  0.631  0.128  0.631
Au  0.631  0.631  0.128
Au  0.872  0.369  0.369
Au  0.874  0.382  0.874
Au  0.874  0.874  0.382

## Properties
space group = R-3m (166)
DFT total energy = -54.60 eV per cell
ΔE_f = 0.5 eV per formula unit

(8)
Here is NaGaCuAu after structural relaxation from the Alexandria database. Energies are from PBE.

abc: 4.565 4.565 4.565
angles: 60.00 60.00 60.00
Fractional positions:
Na  0.000  0.000  0.000
Ga  0.750  0.750  0.750
Cu  0.250  0.250  0.250
Au  0.500  0.500  0.500

## Properties
space group = F-43m (216)
DFT total energy = -11.90 eV per cell
ΔE_f = -0.2 eV per formula unit

(9)
Here is NdGa3CuAu after structural relaxation from the Alexandria database. Energies are from PBE.

abc: 7.255 7.255 6.142
angles: 90.00 90.00 133.14
Fractional positions:
Nd  0.203  0.797  0.750
Nd  0.797  0.203  0.250
Ga  0.218  0.218  0.000
Ga  0.218  0.218  0.500
Ga  0.374  0.626  0.250
Ga  0.626  0.374  0.750
Ga  0.782  0.782  0.000
Ga  0.782  0.782  0.500
Cu  0.415  0.585  0.750
Cu  0.585  0.415  0.250
Au  0.165  0.835  0.250
Au  0.835  0.165  0.750

## Properties
space group = Cmcm (63)
DFT total energy = -45.53 eV per cell
ΔE_f = -1.5 eV per formula unit

(10)
Here is NdGa4CuAu2 after structural relaxation from the Alexandria database. Energies are from PBE.

abc: 9.051 9.051 9.051
angles: 28.55 28.55 28.55
Fractional positions:
Nd  0.000  0.000  0.000
Ga  0.132  0.132  0.132
Ga  0.399  0.399  0.399
Ga  0.601  0.601  0.601
Ga  0.868  0.868  0.868
Cu  0.500  0.500  0.500
Au  0.244  0.244  0.244
Au  0.756  0.756  0.756

## Properties
space group = R-3m (166)
DFT total energy = -30.24 eV per cell
ΔE_f = -2.7 eV per formula unit

(11)
Here is NdGaCu2Au4 after structural relaxation from the Alexandria database. Energies are from PBE.

abc: 9.179 9.179 9.179
angles: 28.03 28.03 28.03
Fractional positions:
Nd  0.000  0.000  0.000
Ga  0.500  0.500  0.500
Cu  0.241  0.241  0.241
Cu  0.759  0.759  0.759
Au  0.130  0.130  0.130
Au  0.398  0.398  0.398
Au  0.602  0.602  0.602
Au  0.870  0.870  0.870

## Properties
space group = R-3m (166)
DFT total energy = -31.49 eV per cell
ΔE_f = -2.4 eV per formula unit

(12)
Here is NdGa2CuAu5 after structural relaxation from the Alexandria database. Energies are from PBE.

abc: 4.949 4.949 7.529
angles: 90.00 90.00 90.00
Fractional positions:
Nd  0.000  0.000  0.000
Ga  0.500  0.500  0.341
Ga  0.500  0.500  0.659
Cu  0.000  0.000  0.500
Au  0.000  0.500  0.264
Au  0.000  0.500  0.736
Au  0.500  0.000  0.264
Au  0.500  0.000  0.736
Au  0.500  0.500  0.000

## Properties
space group = P4/mmm (123)
DFT total energy = -33.06 eV per cell
ΔE_f = -1.8 eV per formula unit

(13)
Here is NdGa2CuAu after structural relaxation from the Alexandria database. Energies are from PBE.

abc: 6.004 6.004 6.004
angles: 137.49 137.49 61.69
Fractional positions:
Nd  0.000  0.000  0.000
Ga  0.380  0.380  0.000
Ga  0.620  0.620  0.000
Cu  0.750  0.250  0.500
Au  0.250  0.750  0.500

## Properties
space group = I-4m2 (119)
DFT total energy = -20.83 eV per cell
ΔE_f = -2.6 eV per formula unit

(14)
Here is NpGa4CuAu2 after structural relaxation from the Alexandria database. Energies are from PBE.

abc: 8.987 8.987 8.987
angles: 28.43 28.43 28.43
Fractional positions:
Np  0.000  0.000  0.000
Ga  0.129  0.129  0.129
Ga  0.395  0.395  0.395
Ga  0.605  0.605  0.605
Ga  0.871  0.871  0.871
Cu  0.500  0.500  0.500
Au  0.243  0.243  0.243
Au  0.757  0.757  0.757

## Properties
space group = R-3m (166)
DFT total energy = -36.56 eV per cell
ΔE_f = -0.9 eV per formula unit

(15)
Here is NpGa3CuAu after structural relaxation from the Alexandria database. Energies are from PBE.

abc: 7.390 7.390 5.927
angles: 90.00 90.00 134.89
Fractional positions:
Np  0.195  0.805  0.750
Np  0.805  0.195  0.250
Ga  0.221  0.221  0.000
Ga  0.221  0.221  0.500
Ga  0.375  0.625  0.250
Ga  0.625  0.375  0.750
Ga  0.779  0.779  0.000
Ga  0.779  0.779  0.500
Cu  0.402  0.598  0.750
Cu  0.598  0.402  0.250
Au  0.173  0.827  0.250
Au  0.827  0.173  0.750

## Properties
space group = Cmcm (63)
DFT total energy = -58.19 eV per cell
ΔE_f = 0.3 eV per formula unit

(16)
Here is GaCuAu2O6 after structural relaxation from the Alexandria database. Energies are from PBE.

abc: 6.952 6.952 4.989
angles: 90.97 90.97 88.16
Fractional positions:
Ga  0.093  0.907  0.750
Ga  0.907  0.093  0.250
Cu  0.405  0.595  0.250
Cu  0.595  0.405  0.750
Au  0.098  0.402  0.741
Au  0.402  0.098  0.241
Au  0.598  0.902  0.759
Au  0.902  0.598  0.259
O  0.054  0.164  0.949
O  0.137  0.645  0.516
O  0.164  0.054  0.449
O  0.336  0.444  0.956
O  0.355  0.863  0.984
O  0.444  0.336  0.456
O  0.556  0.664  0.544
O  0.645  0.137  0.016
O  0.664  0.556  0.044
O  0.836  0.946  0.551
O  0.863  0.355  0.484
O  0.946  0.836  0.051

## Properties
space group = C2/c (15)
formation energy from raw total energies = -0.480 eV/atom
DFT total energy = -96.44 eV per cell

(17)
Here is PaGaCuAu after structural relaxation from the Alexandria database. Energies are from PBE.

abc: 4.769 4.769 4.769
angles: 60.00 60.00 60.00
Fractional positions:
Pa  0.000  0.000  0.000
Ga  0.500  0.500  0.500
Cu  0.750  0.750  0.750
Au  0.250  0.250  0.250

## Properties
space group = F-43m (216)
DFT total energy = -20.84 eV per cell
ΔE_f = -0.9 eV per formula unit

(18)
Here is GaCu2PbAu4 after structural relaxation from the Alexandria database. Energies are from PBE.

abc: 9.148 9.148 9.148
angles: 28.04 28.04 28.04
Fractional positions:
Ga  0.000  0.000  0.000
Cu  0.262  0.262  0.262
Cu  0.738  0.738  0.738
Pb  0.500  0.500  0.500
Au  0.103  0.103  0.103
Au  0.370  0.370  0.370
Au  0.630  0.630  0.630
Au  0.897  0.897  0.897

## Properties
space group = R-3m (166)
DFT total energy = -28.22 eV per cell
ΔE_f = -0.2 eV per formula unit

(19)
Here is GaCuPb2Au6 after structural relaxation from the Alexandria database. Energies are from PBE.

abc: 6.930 6.930 6.930
angles: 60.00 60.00 60.00
Fractional positions:
Ga  0.000  0.000  0.000
Cu  0.500  0.500  0.500
Pb  0.250  0.250  0.250
Pb  0.750  0.750  0.750
Au  0.251  0.251  0.749
Au  0.251  0.749  0.251
Au  0.251  0.749  0.749
Au  0.749  0.251  0.251
Au  0.749  0.251  0.749
Au  0.749  0.749  0.251

## Properties
space group = Fm-3m (225)
DFT total energy = -32.51 eV per cell
ΔE_f = 1.7 eV per formula unit

(20)
Here is Ga2CuPdAu4 after structural relaxation from the Alexandria database. Energies are from PBE.

abc: 3.903 3.903 9.760
angles: 90.00 90.00 90.00
Fractional positions:
Ga  0.000  0.000  0.125
Ga  0.000  0.000  0.875
Cu  0.500  0.500  0.500
Pd  0.500  0.500  0.000
Au  0.000  0.500  0.311
Au  0.000  0.500  0.689
Au  0.500  0.000  0.311
Au  0.500  0.000  0.689

## Properties
space group = P4/mmm (123)
DFT total energy = -28.37 eV per cell
ΔE_f = 0.1 eV per formula unit

(21)
Here is GaCu2Pd5Au2 after structural relaxation from the Alexandria database. Energies are from PBE.

abc: 9.082 9.082 3.832
angles: 90.00 90.00 90.00
Fractional positions:
Ga  0.000  0.000  0.000
Ga  0.500  0.500  0.000
Cu  0.127  0.373  0.000
Cu  0.373  0.873  0.000
Cu  0.627  0.127  0.000
Cu  0.873  0.627  0.000
Pd  0.000  0.500  0.500
Pd  0.077  0.194  0.500
Pd  0.194  0.923  0.500
Pd  0.306  0.423  0.500
Pd  0.423  0.694  0.500
Pd  0.500  0.000  0.500
Pd  0.577  0.306  0.500
Pd  0.694  0.577  0.500
Pd  0.806  0.077  0.500
Pd  0.923  0.806  0.500
Au  0.169  0.669  0.000
Au  0.331  0.169  0.000
Au  0.669  0.831  0.000
Au  0.831  0.331  0.000

## Properties
space group = P4/mbm (127)
DFT total energy = -90.03 eV per cell
ΔE_f = -1.3 eV per formula unit

(22)
Here is PmGa4CuAu2 after structural relaxation from the Alexandria database. Energies are from PBE.

abc: 8.988 8.988 8.988
angles: 28.75 28.75 28.75
Fractional positions:
Pm  0.000  0.000  0.000
Ga  0.132  0.132  0.132
Ga  0.398  0.398  0.398
Ga  0.602  0.602  0.602
Ga  0.868  0.868  0.868
Cu  0.500  0.500  0.500
Au  0.244  0.244  0.244
Au  0.756  0.756  0.756

## Properties
space group = R-3m (166)
DFT total energy = -30.21 eV per cell
ΔE_f = -2.7 eV per formula unit

(23)
Here is Pm2Ga3Cu4Au after structural relaxation from the Alexandria database. Energies are from PBE.

abc: 4.177 4.177 10.479
angles: 90.00 90.00 90.00
Fractional positions:
Pm  0.000  0.500  0.240
Pm  0.500  0.000  0.760
Ga  0.000  0.500  0.875
Ga  0.500  0.000  0.125
Ga  0.500  0.500  0.500
Cu  0.000  0.000  0.000
Cu  0.000  0.500  0.646
Cu  0.500  0.000  0.354
Cu  0.500  0.500  0.000
Au  0.000  0.000  0.500

## Properties
space group = P-4m2 (115)
DFT total energy = -42.34 eV per cell
ΔE_f = -4.1 eV per formula unit